# 1
Material: TmH5Os
Method: DFT, PBE-GGA
State: relaxed

Symmetry = Cmcm (63)

Geometry as POSCAR:
```
TmH5Os
1.0
-0.535 4.235 -1.984
-2.695 -3.607 -1.372
-4.094 1.456 4.209
H Tm Os
10 2 2
Direct
0.399 0.144 0.931
0.601 0.856 0.069
0.398 0.143 0.569
0.602 0.857 0.431
0.857 0.602 0.931
0.880 0.120 0.750
0.143 0.398 0.069
0.144 0.399 0.431
0.856 0.601 0.569
0.120 0.880 0.250
0.331 0.669 0.750
0.669 0.331 0.250
0.000 0.000 0.500
0.000 0.000 0.000
```

=====

# 2
Material: Nd5SbRh2
Method: DFT, PBE-GGA
State: relaxed

Symmetry = I4/mcm (140)
Formation energy from raw total energies = -5.55 eV/f.u.
DOS at the Fermi energy = 15.467 states/eV per cell

Geometry as POSCAR:
```
Nd5SbRh2
1.0
8.043 0.000 0.000
0.000 8.043 0.000
-4.022 -4.022 6.843
Rh Nd Sb
4 10 2
Direct
0.639 0.139 0.000
0.139 0.361 0.000
0.361 0.861 0.000
0.861 0.639 0.000
0.500 0.500 0.000
0.000 0.000 0.000
0.705 0.205 0.726
0.795 0.979 0.274
0.021 0.521 0.726
0.521 0.705 0.726
0.479 0.295 0.274
0.295 0.795 0.274
0.979 0.479 0.274
0.205 0.021 0.726
0.250 0.250 0.500
0.750 0.750 0.500
```

=====

# 3
Material: ZrPbSCl2
Method: DFT, PBE-GGA
State: relaxed

Symmetry = P4/mmm (123)
Formation energy from raw total energies = -3.52 eV/f.u.
DOS at the Fermi energy = 5.432 states/eV per cell

Geometry as POSCAR:
```
ZrPbSCl2
1.0
5.557 0.000 0.000
0.000 5.557 0.000
0.000 0.000 5.216
Pb Cl S Zr
1 2 1 1
Direct
0.500 0.500 0.500
0.500 0.000 0.000
0.000 0.500 0.000
0.000 0.000 0.500
0.000 0.000 0.000
```

=====

# 4
Material: Sr2ErMoN4
Method: DFT, PBE-GGA
State: relaxed

Symmetry = Pmn2_1 (31)
Formation energy from raw total energies = -7.52 eV/f.u.
DOS at the Fermi energy = 3.972 states/eV per cell

Geometry as POSCAR:
```
Sr2ErMoN4
1.0
-2.725 1.776 -4.571
-5.647 -3.563 1.983
-2.485 6.077 3.843
Er N Sr Mo
2 8 4 2
Direct
0.483 0.841 0.000
0.983 0.159 0.500
0.433 0.717 0.714
0.335 0.129 0.000
0.933 0.283 0.214
0.879 0.895 0.000
0.835 0.871 0.500
0.933 0.283 0.786
0.433 0.717 0.286
0.379 0.105 0.500
0.468 0.337 0.247
0.968 0.663 0.253
0.968 0.663 0.747
0.468 0.337 0.753
0.003 0.150 0.000
0.503 0.850 0.500
```

=====

Uncorrected energy, respectively: -5.06; -6.03; -4.72; -7.45 eV per atom.